# Ca2SnH2 PBEsol optimized geometry
# calculated volume = 18.2 A^3/atom
# calculated total energy = -3.665 eV per atom
# N(E_F) = 0.10 states/eV/atom
data_Ca2SnH2
_chemical_formula_sum 'Ca4 Sn2 H4'
_space_group_name_H-M_alt 'I 4/m m m'
_space_group_IT_number 139
_space_group_name_Hall '-I 4 2'
_cell_length_a 3.6053
_cell_length_b 3.6053
_cell_length_c 14.0159
_cell_angle_alpha 90.00
_cell_angle_beta 90.00
_cell_angle_gamma 90.00
loop_
_atom_site_label
_atom_site_fract_x
_atom_site_fract_y
_atom_site_fract_z
_atom_site_occupancy
Ca1 0.0000 0.0000 0.1576 1
Sn1 0.0000 0.0000 0.5000 1
H1 0.0000 0.5000 0.2500 1